# 1
The following is a PBE calculation of YBiMo2Pt after structural relaxation, from Alexandria via LeMat-Bulk.

Cell: 5.0963 5.0963 5.0045 Å, 90.00 90.00 90.00°
With the nearest neighbours (Å) after each atom.
Space group P4/mmm (No. 123)
One atom of each set of equivalent atoms:
Y 0.0000 0.0000 0.0000 (multiplicity 1)  8 Mo 3.57, 4 Pt 3.60
Bi 0.5000 0.5000 0.5000 (multiplicity 1)  2 Pt 2.50, 4 Mo 2.55
Mo 0.0000 0.5000 0.5000 (multiplicity 2)  2 Bi 2.55
Pt 0.5000 0.5000 0.0000 (multiplicity 1)  2 Bi 2.50

Calculated formation energy   1383 meV per atom
Total magnetic moment   1.817 μB per cell


# 2
The following is a PBE calculation of RbBi2Mo after structural relaxation, from Alexandria via LeMat-Bulk.

Cell: 7.6615 7.6615 7.6615 Å, 90.00 90.00 90.00°
With the nearest neighbours (Å) after each atom.
Space group Fm-3m (No. 225)
One atom of each set of equivalent atoms:
Rb 0.0000 0.0000 0.0000 (multiplicity 4)  8 Bi 3.32
Bi 0.2500 0.2500 0.2500 (multiplicity 8)  4 Mo 3.32, 4 Rb 3.32
Mo 0.0000 0.0000 0.5000 (multiplicity 4)  8 Bi 3.32

ΔE to the lowest computed polymorph   5.67 kcal/mol of atoms
Calculated formation energy   694 meV per atom
Total magnetic moment   10.168 μB per cell


# 3
The following is a PBE calculation of RbBiMo3 after structural relaxation, from Alexandria via LeMat-Bulk.

Cell: 5.4476 5.4476 5.4476 Å, 90.00 90.00 90.00°
With the nearest neighbours (Å) after each atom.
Space group Pm-3m (No. 221)
One atom of each set of equivalent atoms:
Rb 0.0000 0.0000 0.0000 (multiplicity 1)  12 Mo 3.85
Bi 0.5000 0.5000 0.5000 (multiplicity 1)  6 Mo 2.72
Mo 0.0000 0.5000 0.5000 (multiplicity 3)  2 Bi 2.72

ΔE to the lowest computed polymorph   0.00 kcal/mol of atoms
Calculated formation energy   2376 meV per atom
Total magnetic moment   9.783 μB per cell


# 4
The following is a PBE calculation of RbBi3Mo after structural relaxation, from Alexandria via LeMat-Bulk.

Cell: 5.8115 5.8115 5.8115 Å, 90.00 90.00 90.00°
With the nearest neighbours (Å) after each atom.
Space group Pm-3m (No. 221)
One atom of each set of equivalent atoms:
Rb 0.0000 0.0000 0.0000 (multiplicity 1)  6 Bi 2.91
Bi 0.0000 0.0000 0.5000 (multiplicity 3)  2 Rb 2.91
Mo 0.5000 0.5000 0.5000 (multiplicity 1)  12 Bi 4.11

ΔE to the lowest computed polymorph   47.97 kcal/mol of atoms
Calculated formation energy   2392 meV per atom
Total magnetic moment   0.000 μB per cell


# 5
The following is a PBE calculation of RbBiMo2 after structural relaxation, from Alexandria via LeMat-Bulk.

Cell: 8.4452 8.4452 6.0682 Å, 90.00 90.00 90.00°
With the nearest neighbours (Å) after each atom.
Space group I-42d (No. 122)
One atom of each set of equivalent atoms:
Rb 0.0000 0.0000 0.0000 (multiplicity 4)  2 Bi 3.03
Bi 0.0000 0.0000 0.5000 (multiplicity 4)  4 Mo 2.78, 2 Rb 3.03
Mo 0.1948 0.2500 0.6250 (multiplicity 8)  2 Bi 2.78

Calculated formation energy   1895 meV per atom
Total magnetic moment   8.626 μB per cell


# 6
The following is a PBE calculation of RbBiMo3 after structural relaxation, from Alexandria via LeMat-Bulk.

Cell: 4.8295 4.8295 4.8295 Å, 90.00 90.00 90.00°
With the nearest neighbours (Å) after each atom.
Space group Pm-3m (No. 221)
One atom of each set of equivalent atoms:
Rb 0.0000 0.0000 0.0000 (multiplicity 1)  6 Mo 2.41
Bi 0.5000 0.5000 0.5000 (multiplicity 1)  12 Mo 3.41
Mo 0.0000 0.0000 0.5000 (multiplicity 3)  2 Rb 2.41

ΔE to the lowest computed polymorph   16.59 kcal/mol of atoms
Calculated formation energy   3095 meV per atom
Total magnetic moment   3.384 μB per cell